CuRu2Se after structural relaxation. Source: the Alexandria database, functional PBE.

Values from the calculation:
Its volume is 14.7 Å³/atom. For the total energy, the calculation gives -23.65 eV per formula unit.

Cell and atoms, written as CIF:
```
data_CuRu2Se
_symmetry_space_group_name_H-M 'P 1'
_symmetry_Int_Tables_number 1
_cell_length_a 2.7670
_cell_length_b 2.7670
_cell_length_c 8.6627
_cell_angle_alpha 90.00
_cell_angle_beta 90.00
_cell_angle_gamma 117.47
loop_
_symmetry_equiv_pos_as_xyz
'x,y,z'
loop_
_atom_site_label
_atom_site_type_symbol
_atom_site_fract_x
_atom_site_fract_y
_atom_site_fract_z
Cu1 Cu 0.5000 0.5000 0.7500
Ru1 Ru 0.0000 0.0000 0.5010
Ru2 Ru 0.0000 0.0000 0.9990
Se1 Se 0.5000 0.5000 0.2500
```